First-principles (PBE) data for a relaxed SrMnTeI2 crystal, as listed in Alexandria via LeMat-Bulk.

Structure (POSCAR):
```
SrMnTeI2
1.0
6.250 0.000 0.000
0.000 6.250 0.000
0.000 0.000 6.486
Te I Mn Sr
1 2 1 1
direct
0.000 0.000 0.500
0.500 0.000 0.000
0.000 0.500 0.000
0.500 0.500 0.500
0.000 0.000 0.000
```

Output
Spin magnetization, μB/f.u.: 5.02
Excess energy over the best structure of this formula in the dataset, meV/atom: 606
Formation energy (no corrections), eV/atom: -0.066
Electronic total energy, hartree per atom: -0.12805